ZrAl2Bi2 | GGA-PBE | relaxed

**Excess energy over the best structure of this formula in the dataset**: 0 meV/atom
**DOS(E_F)**: 3.383 states/eV per cell
**Calculated density**: 7392 kg/m3
**Energy relative to the elements**: 0.12 eV/atom

abc: 3.822 3.822 9.071
angles: 77.84 77.84 90.00
Positions (direct):
Bi1 0.403 0.403 0.193
Bi2 0.597 0.597 0.807
Zr1 0.000 0.000 0.000
Al1 0.750 0.250 0.500
Al2 0.250 0.750 0.500